# CaNd3P4 | Alexandria via LeMat-Bulk | PBE | relaxed
# ΔE_f: -1.341 eV/atom
# magnetic moment: 0.000 μB/cell
# symmetry: No. 221
# VASP energy: -6.08 eV/atom
# crystal system: cubic
# D(E_F): 3.16 states/eV per cell
data_CaNd3P4
_symmetry_space_group_name_H-M 'P 1'
_symmetry_Int_Tables_number 1
_cell_length_a 5.8804
_cell_length_b 5.8804
_cell_length_c 5.8804
_cell_angle_alpha 90.00
_cell_angle_beta 90.00
_cell_angle_gamma 90.00
loop_
_symmetry_equiv_pos_as_xyz
'x,y,z'
loop_
_atom_site_label
_atom_site_fract_x
_atom_site_fract_y
_atom_site_fract_z
Ca1 0.0000 0.0000 0.0000
Nd1 0.0000 0.5000 0.5000
Nd2 0.5000 0.0000 0.5000
Nd3 0.5000 0.5000 0.0000
P1 0.0000 0.0000 0.5000
P2 0.0000 0.5000 0.0000
P3 0.5000 0.0000 0.0000
P4 0.5000 0.5000 0.5000

---

# CaNdP | Alexandria via LeMat-Bulk | PBE | relaxed
# ΔE_f: -0.692 eV/atom
# magnetic moment: 1.892 μB/cell
# symmetry: No. 38
# VASP energy: -4.75 eV/atom
# crystal system: orthorhombic
# D(E_F): 5.64 states/eV per cell
data_CaNdP
_symmetry_space_group_name_H-M 'P 1'
_symmetry_Int_Tables_number 1
_cell_length_a 13.6446
_cell_length_b 4.0609
_cell_length_c 4.0609
_cell_angle_alpha 60.01
_cell_angle_beta 90.00
_cell_angle_gamma 90.00
loop_
_symmetry_equiv_pos_as_xyz
'x,y,z'
loop_
_atom_site_label
_atom_site_fract_x
_atom_site_fract_y
_atom_site_fract_z
Ca1 0.1166 0.0000 0.0000
Ca2 0.8834 0.0000 0.0000
Nd1 0.3730 0.6654 0.6654
Nd2 0.6270 0.6654 0.6654
P1 0.0000 0.6666 0.6666
P2 0.5000 0.9988 0.9988

---

# Ca2NdPaP4 | Alexandria via LeMat-Bulk | PBE | relaxed
# ΔE_f: -1.313 eV/atom
# magnetic moment: 0.000 μB/cell
# symmetry: No. 10
# VASP energy: -6.30 eV/atom
# crystal system: monoclinic
# D(E_F): 0.05 states/eV per cell
data_Ca2NdPaP4
_symmetry_space_group_name_H-M 'P 1'
_symmetry_Int_Tables_number 1
_cell_length_a 7.0811
_cell_length_b 4.1423
_cell_length_c 7.1402
_cell_angle_alpha 90.00
_cell_angle_beta 109.48
_cell_angle_gamma 90.00
loop_
_symmetry_equiv_pos_as_xyz
'x,y,z'
loop_
_atom_site_label
_atom_site_fract_x
_atom_site_fract_y
_atom_site_fract_z
Ca1 0.0000 0.0000 0.0000
Ca2 0.0000 0.5000 0.5000
Nd1 0.5000 0.0000 0.5000
Pa1 0.5000 0.5000 0.0000
P1 0.2649 0.5000 0.2386
P2 0.2698 0.0000 0.7691
P3 0.7302 0.0000 0.2309
P4 0.7351 0.5000 0.7614

---

# CaNdP2Pd4 | Alexandria via LeMat-Bulk | PBE | relaxed
# ΔE_f: -0.743 eV/atom
# magnetic moment: 0.000 μB/cell
# symmetry: No. 123
# VASP energy: -5.54 eV/atom
# crystal system: tetragonal
# D(E_F): 3.15 states/eV per cell
data_CaNdP2Pd4
_symmetry_space_group_name_H-M 'P 1'
_symmetry_Int_Tables_number 1
_cell_length_a 4.1079
_cell_length_b 4.1079
_cell_length_c 9.2305
_cell_angle_alpha 90.00
_cell_angle_beta 90.00
_cell_angle_gamma 90.00
loop_
_symmetry_equiv_pos_as_xyz
'x,y,z'
loop_
_atom_site_label
_atom_site_fract_x
_atom_site_fract_y
_atom_site_fract_z
Ca1 0.0000 0.0000 0.0000
Nd1 0.0000 0.0000 0.5000
P1 0.5000 0.5000 0.1215
P2 0.5000 0.5000 0.8785
Pd1 0.0000 0.5000 0.2597
Pd2 0.0000 0.5000 0.7403
Pd3 0.5000 0.0000 0.2597
Pd4 0.5000 0.0000 0.7403

---

# CaNdP2Pd5 | Alexandria via LeMat-Bulk | PBE | relaxed
# ΔE_f: -0.856 eV/atom
# magnetic moment: 0.000 μB/cell
# symmetry: No. 123
# VASP energy: -5.70 eV/atom
# crystal system: tetragonal
# D(E_F): 2.22 states/eV per cell
data_CaNdP2Pd5
_symmetry_space_group_name_H-M 'P 1'
_symmetry_Int_Tables_number 1
_cell_length_a 4.2077
_cell_length_b 4.2077
_cell_length_c 8.8372
_cell_angle_alpha 90.00
_cell_angle_beta 90.00
_cell_angle_gamma 90.00
loop_
_symmetry_equiv_pos_as_xyz
'x,y,z'
loop_
_atom_site_label
_atom_site_fract_x
_atom_site_fract_y
_atom_site_fract_z
Ca1 0.0000 0.0000 0.0000
Nd1 0.0000 0.0000 0.5000
P1 0.5000 0.5000 0.3710
P2 0.5000 0.5000 0.6290
Pd1 0.0000 0.5000 0.2367
Pd2 0.0000 0.5000 0.7633
Pd3 0.5000 0.0000 0.2367
Pd4 0.5000 0.0000 0.7633
Pd5 0.5000 0.5000 0.0000

---

# CaNdP2Pd2 | Alexandria via LeMat-Bulk | PBE | relaxed
# ΔE_f: -1.148 eV/atom
# magnetic moment: 0.000 μB/cell
# symmetry: No. 164
# VASP energy: -5.81 eV/atom
# crystal system: trigonal
# D(E_F): 1.66 states/eV per cell
data_CaNdP2Pd2
_symmetry_space_group_name_H-M 'P 1'
_symmetry_Int_Tables_number 1
_cell_length_a 4.1679
_cell_length_b 4.1679
_cell_length_c 8.0634
_cell_angle_alpha 90.00
_cell_angle_beta 90.00
_cell_angle_gamma 120.00
loop_
_symmetry_equiv_pos_as_xyz
'x,y,z'
loop_
_atom_site_label
_atom_site_fract_x
_atom_site_fract_y
_atom_site_fract_z
Ca1 0.0000 0.0000 0.0000
Nd1 0.0000 0.0000 0.5000
P1 0.3333 0.6667 0.7418
P2 0.6667 0.3333 0.2582
Pd1 0.3333 0.6667 0.2455
Pd2 0.6667 0.3333 0.7545

---

# CaNd2P3Rh12 | Alexandria via LeMat-Bulk | PBE | relaxed
# ΔE_f: -0.283 eV/atom
# magnetic moment: 0.000 μB/cell
# symmetry: No. 166
# VASP energy: -6.73 eV/atom
# crystal system: trigonal
# D(E_F): 18.04 states/eV per cell
data_CaNd2P3Rh12
_symmetry_space_group_name_H-M 'P 1'
_symmetry_Int_Tables_number 1
_cell_length_a 6.7507
_cell_length_b 6.7507
_cell_length_c 6.7507
_cell_angle_alpha 84.14
_cell_angle_beta 84.14
_cell_angle_gamma 84.14
loop_
_symmetry_equiv_pos_as_xyz
'x,y,z'
loop_
_atom_site_label
_atom_site_fract_x
_atom_site_fract_y
_atom_site_fract_z
Ca1 0.0000 0.0000 0.0000
Nd1 0.3714 0.3714 0.3714
Nd2 0.6286 0.6286 0.6286
P1 0.0000 0.0000 0.5000
P2 0.0000 0.5000 0.0000
P3 0.5000 0.0000 0.0000
Rh1 0.0908 0.6324 0.6324
Rh2 0.1765 0.1765 0.6661
Rh3 0.1765 0.6661 0.1765
Rh4 0.3339 0.8235 0.8235
Rh5 0.3676 0.3676 0.9092
Rh6 0.3676 0.9092 0.3676
Rh7 0.6324 0.0908 0.6324
Rh8 0.6324 0.6324 0.0908
Rh9 0.6661 0.1765 0.1765
Rh10 0.8235 0.3339 0.8235
Rh11 0.8235 0.8235 0.3339
Rh12 0.9092 0.3676 0.3676

---

# CaNdPS | Alexandria via LeMat-Bulk | PBE | relaxed
# magnetic moment: 0.000 μB/cell
# symmetry: No. 160
# VASP energy: -5.84 eV/atom
# formation energy (no corrections): -1.759 eV/atom
# crystal system: trigonal
data_CaNdPS
_symmetry_space_group_name_H-M 'P 1'
_symmetry_Int_Tables_number 1
_cell_length_a 7.1404
_cell_length_b 7.1404
_cell_length_c 7.1404
_cell_angle_alpha 33.70
_cell_angle_beta 33.70
_cell_angle_gamma 33.70
loop_
_symmetry_equiv_pos_as_xyz
'x,y,z'
loop_
_atom_site_label
_atom_site_fract_x
_atom_site_fract_y
_atom_site_fract_z
Ca1 0.0000 0.0000 0.0000
Nd1 0.4947 0.4947 0.4947
P1 0.7504 0.7504 0.7504
S1 0.2489 0.2489 0.2489

---

# Ca3NdSb2P | Alexandria via LeMat-Bulk | PBE | relaxed
# magnetic moment: 0.000 μB/cell
# symmetry: No. 71
# VASP energy: -4.49 eV/atom
# formation energy (no corrections): -1.003 eV/atom
# crystal system: orthorhombic
# D(E_F): 0.28 states/eV per cell
data_Ca3NdSb2P
_symmetry_space_group_name_H-M 'P 1'
_symmetry_Int_Tables_number 1
_cell_length_a 8.9756
_cell_length_b 8.9756
_cell_length_c 8.9756
_cell_angle_alpha 146.14
_cell_angle_beta 144.67
_cell_angle_gamma 49.74
loop_
_symmetry_equiv_pos_as_xyz
'x,y,z'
loop_
_atom_site_label
_atom_site_fract_x
_atom_site_fract_y
_atom_site_fract_z
Ca1 0.0000 0.0000 0.0000
Ca2 0.1750 0.6750 0.5000
Ca3 0.8250 0.3250 0.5000
Nd1 0.5000 0.5000 0.0000
Sb1 0.3664 0.8664 0.5000
Sb2 0.6336 0.1336 0.5000
P1 0.0000 0.5000 0.5000

---

# Ca2NdThP4 | Alexandria via LeMat-Bulk | PBE | relaxed
# ΔE_f: -1.270 eV/atom
# magnetic moment: 0.000 μB/cell
# symmetry: No. 10
# VASP energy: -6.00 eV/atom
# crystal system: monoclinic
# D(E_F): 7.92 states/eV per cell
data_Ca2NdThP4
_symmetry_space_group_name_H-M 'P 1'
_symmetry_Int_Tables_number 1
_cell_length_a 7.1428
_cell_length_b 4.1894
_cell_length_c 7.2641
_cell_angle_alpha 90.00
_cell_angle_beta 109.86
_cell_angle_gamma 90.00
loop_
_symmetry_equiv_pos_as_xyz
'x,y,z'
loop_
_atom_site_label
_atom_site_fract_x
_atom_site_fract_y
_atom_site_fract_z
Ca1 0.0000 0.0000 0.0000
Ca2 0.0000 0.5000 0.5000
Nd1 0.5000 0.0000 0.5000
Th1 0.5000 0.5000 0.0000
P1 0.2570 0.5000 0.2493
P2 0.2589 0.0000 0.7561
P3 0.7411 0.0000 0.2439
P4 0.7430 0.5000 0.7507

---

# Ca3NdU2P6 | Alexandria via LeMat-Bulk | PBE | relaxed
# ΔE_f: -1.152 eV/atom
# magnetic moment: 2.987 μB/cell
# symmetry: No. 12
# VASP energy: -6.64 eV/atom
# crystal system: monoclinic
# D(E_F): 13.25 states/eV per cell
data_Ca3NdU2P6
_symmetry_space_group_name_H-M 'P 1'
_symmetry_Int_Tables_number 1
_cell_length_a 7.0726
_cell_length_b 7.0726
_cell_length_c 7.0554
_cell_angle_alpha 99.64
_cell_angle_beta 99.64
_cell_angle_gamma 119.98
loop_
_symmetry_equiv_pos_as_xyz
'x,y,z'
loop_
_atom_site_label
_atom_site_fract_x
_atom_site_fract_y
_atom_site_fract_z
Ca1 0.0000 0.0000 0.0000
Ca2 0.3365 0.6635 0.0000
Ca3 0.6635 0.3365 0.0000
Nd1 0.5000 0.5000 0.5000
U1 0.1670 0.8330 0.5000
U2 0.8330 0.1670 0.5000
P1 0.0737 0.4233 0.2711
P2 0.2276 0.2276 0.7302
P3 0.4233 0.0737 0.2711
P4 0.5767 0.9263 0.7289
P5 0.7724 0.7724 0.2698
P6 0.9263 0.5767 0.7289

---

# Ca3Nd2UP6 | Alexandria via LeMat-Bulk | PBE | relaxed
# ΔE_f: -1.239 eV/atom
# magnetic moment: 0.000 μB/cell
# symmetry: No. 12
# VASP energy: -6.18 eV/atom
# crystal system: monoclinic
data_Ca3Nd2UP6
_symmetry_space_group_name_H-M 'P 1'
_symmetry_Int_Tables_number 1
_cell_length_a 7.1423
_cell_length_b 7.1423
_cell_length_c 7.0961
_cell_angle_alpha 99.73
_cell_angle_beta 99.73
_cell_angle_gamma 119.97
loop_
_symmetry_equiv_pos_as_xyz
'x,y,z'
loop_
_atom_site_label
_atom_site_fract_x
_atom_site_fract_y
_atom_site_fract_z
Ca1 0.0000 0.0000 0.0000
Ca2 0.3295 0.6705 0.0000
Ca3 0.6705 0.3295 0.0000
Nd1 0.1662 0.8338 0.5000
Nd2 0.8338 0.1662 0.5000
U1 0.5000 0.5000 0.5000
P1 0.1116 0.4225 0.2662
P2 0.2688 0.2688 0.7304
P3 0.4225 0.1116 0.2662
P4 0.5775 0.8884 0.7338
P5 0.7312 0.7312 0.2696
P6 0.8884 0.5775 0.7338